# Rb3Sm2NpO6 PBE-GGA relaxed
data_Rb3Sm2NpO6
_chemical_formula_sum 'Rb6 Sm4 Np2 O12'
_cell_length_a 6.252
_cell_length_b 10.828
_cell_length_c 6.919
_cell_angle_alpha 90.00
_cell_angle_beta 107.54
_cell_angle_gamma 90.00
_symmetry_space_group_name_H-M 'C 1 2/m 1'
_symmetry_Int_Tables_number 12
_symmetry_space_group_name_Hall '-C 2y'
loop_
_atom_site_label
_atom_site_fract_x
_atom_site_fract_y
_atom_site_fract_z
Rb1 0.000 0.000 0.000
Rb2 0.000 0.333 0.000
Sm1 0.000 0.167 0.500
Np1 0.000 0.500 0.500
O1 0.223 0.336 0.677
O2 0.232 0.000 0.677
# uncorrected formation energy: -2444 meV/atom
# spin magnetization: 0.33 μB per atom
# E_tot: -7.030 eV/atom